[1]
Compound: CaLa2Mg
Source: Alexandria via LeMat-Bulk
Functional: GGA-PBEsol
Structure: relaxed

Properties
Calculated formation energy: 0.092 eV per atom
Total energy: -14.2 eV/cell

Structure (CIF):
```
data_CaLa2Mg
_cell_length_a 3.469
_cell_length_b 3.469
_cell_length_c 11.726
_cell_angle_alpha 90.00
_cell_angle_beta 90.00
_cell_angle_gamma 109.81
_symmetry_space_group_name_H-M 'P 1'
_symmetry_Int_Tables_number 1
_symmetry_space_group_name_Hall 'P 1'
loop_
_atom_site_label
_atom_site_type_symbol
_atom_site_fract_x
_atom_site_fract_y
_atom_site_fract_z
Ca1 Ca 0.500 0.500 0.000
La1 La 0.000 0.000 0.268
La2 La 0.000 0.000 0.732
Mg1 Mg 0.500 0.500 0.500
```

***

[2]
Compound: ScMnSi2
Source: Alexandria via LeMat-Bulk
Functional: GGA-PBEsol
Structure: relaxed

Properties
Total energy: -369.1 eV/cell
Formation energy without anion corrections: -0.724 eV/atom

Structure (CIF):
```
data_ScMnSi2
_cell_length_a 7.824
_cell_length_b 8.918
_cell_length_c 9.587
_cell_angle_alpha 90.00
_cell_angle_beta 90.00
_cell_angle_gamma 90.00
_symmetry_space_group_name_H-M 'P 1'
_symmetry_Int_Tables_number 1
_symmetry_space_group_name_Hall 'P 1'
loop_
_atom_site_label
_atom_site_type_symbol
_atom_site_fract_x
_atom_site_fract_y
_atom_site_fract_z
Sc1 Sc 0.246 0.828 0.453
Sc2 Sc 0.246 0.172 0.547
Sc3 Sc 0.754 0.328 0.047
Sc4 Sc 0.754 0.672 0.953
Sc5 Sc 0.754 0.172 0.547
Sc6 Sc 0.754 0.828 0.453
Sc7 Sc 0.246 0.672 0.953
Sc8 Sc 0.246 0.328 0.047
Sc9 Sc 0.000 0.830 0.178
Sc10 Sc 0.000 0.170 0.822
Sc11 Sc 0.000 0.330 0.322
Sc12 Sc 0.000 0.670 0.678
Mn1 Mn 0.248 0.580 0.248
Mn2 Mn 0.248 0.420 0.752
Mn3 Mn 0.752 0.080 0.252
Mn4 Mn 0.752 0.920 0.748
Mn5 Mn 0.752 0.420 0.752
Mn6 Mn 0.752 0.580 0.248
Mn7 Mn 0.248 0.920 0.748
Mn8 Mn 0.248 0.080 0.252
Mn9 Mn 0.244 0.500 0.500
Mn10 Mn 0.756 0.000 0.000
Mn11 Mn 0.756 0.500 0.500
Mn12 Mn 0.244 0.000 0.000
Si1 Si 0.347 0.831 0.180
Si2 Si 0.347 0.169 0.820
Si3 Si 0.653 0.331 0.320
Si4 Si 0.653 0.669 0.680
Si5 Si 0.653 0.169 0.820
Si6 Si 0.653 0.831 0.180
Si7 Si 0.347 0.669 0.680
Si8 Si 0.347 0.331 0.320
Si9 Si 0.500 0.541 0.128
Si10 Si 0.500 0.459 0.872
Si11 Si 0.500 0.041 0.372
Si12 Si 0.500 0.959 0.628
Si13 Si 0.000 0.539 0.123
Si14 Si 0.000 0.461 0.877
Si15 Si 0.000 0.039 0.377
Si16 Si 0.000 0.961 0.623
Si17 Si 0.500 0.608 0.401
Si18 Si 0.500 0.392 0.599
Si19 Si 0.500 0.108 0.099
Si20 Si 0.500 0.892 0.901
Si21 Si 0.000 0.623 0.396
Si22 Si 0.000 0.377 0.604
Si23 Si 0.000 0.123 0.104
Si24 Si 0.000 0.877 0.896
```

***

[3]
Compound: NbCuAg2W
Source: Alexandria via LeMat-Bulk
Functional: GGA-PBEsol
Structure: relaxed

Properties
Calculated formation energy: 2.436 eV per atom
Total energy: -23.4 eV/cell

Structure (CIF):
```
data_NbCuAg2W
_cell_length_a 4.530
_cell_length_b 4.899
_cell_length_c 4.899
_cell_angle_alpha 90.00
_cell_angle_beta 90.00
_cell_angle_gamma 90.00
_symmetry_space_group_name_H-M 'P 1'
_symmetry_Int_Tables_number 1
_symmetry_space_group_name_Hall 'P 1'
loop_
_atom_site_label
_atom_site_type_symbol
_atom_site_fract_x
_atom_site_fract_y
_atom_site_fract_z
Nb1 Nb 0.000 0.000 0.000
Cu1 Cu 0.500 0.000 0.000
Ag1 Ag 0.000 0.000 0.500
Ag2 Ag 0.000 0.500 0.000
W1 W 0.500 0.500 0.500
```

***

[4]
Compound: HfTlMo2Ir
Source: Alexandria via LeMat-Bulk
Functional: GGA-PBEsol
Structure: relaxed

Properties
Calculated formation energy: 2.276 eV per atom
Total energy: -35.1 eV/cell

Structure (CIF):
```
data_HfTlMo2Ir
_cell_length_a 4.793
_cell_length_b 4.851
_cell_length_c 4.851
_cell_angle_alpha 90.00
_cell_angle_beta 90.00
_cell_angle_gamma 90.00
_symmetry_space_group_name_H-M 'P 1'
_symmetry_Int_Tables_number 1
_symmetry_space_group_name_Hall 'P 1'
loop_
_atom_site_label
_atom_site_type_symbol
_atom_site_fract_x
_atom_site_fract_y
_atom_site_fract_z
Tl1 Tl 0.000 0.000 0.000
Ir1 Ir 0.500 0.000 0.000
Hf1 Hf 0.500 0.500 0.500
Mo1 Mo 0.000 0.000 0.500
Mo2 Mo 0.000 0.500 0.000
```

***

[5]
Compound: Cu3SeI2
Source: Alexandria via LeMat-Bulk
Functional: GGA-PBEsol
Structure: relaxed

Properties
Total energy: -42.0 eV/cell
Formation energy without anion corrections: -0.102 eV/atom

Structure (CIF):
```
data_Cu3SeI2
_cell_length_a 3.952
_cell_length_b 3.964
_cell_length_c 17.767
_cell_angle_alpha 90.00
_cell_angle_beta 90.00
_cell_angle_gamma 90.00
_symmetry_space_group_name_H-M 'P 1'
_symmetry_Int_Tables_number 1
_symmetry_space_group_name_Hall 'P 1'
loop_
_atom_site_label
_atom_site_type_symbol
_atom_site_fract_x
_atom_site_fract_y
_atom_site_fract_z
Cu1 Cu 0.000 0.000 0.214
Cu2 Cu 0.500 0.500 0.714
Cu3 Cu 0.000 0.000 0.710
Cu4 Cu 0.500 0.500 0.210
Cu5 Cu 0.000 0.000 0.867
Cu6 Cu 0.500 0.500 0.367
Se1 Se 0.000 0.500 0.791
Se2 Se 0.500 0.000 0.291
I1 I 0.000 0.500 0.113
I2 I 0.500 0.000 0.613
I3 I 0.000 0.500 0.453
I4 I 0.500 0.000 0.953
```

***

[6]
Compound: ScMnRh
Source: Alexandria via LeMat-Bulk
Functional: GGA-PBEsol
Structure: relaxed

Properties
Calculated formation energy: -0.204 eV per atom
E above lowest polymorph: 7.0 meV/atom
Total energy: -25.1 eV/cell

Structure (CIF):
```
data_ScMnRh
_cell_length_a 2.911
_cell_length_b 4.287
_cell_length_c 4.287
_cell_angle_alpha 120.00
_cell_angle_beta 90.00
_cell_angle_gamma 90.00
_symmetry_space_group_name_H-M 'P 1'
_symmetry_Int_Tables_number 1
_symmetry_space_group_name_Hall 'P 1'
loop_
_atom_site_label
_atom_site_type_symbol
_atom_site_fract_x
_atom_site_fract_y
_atom_site_fract_z
Mn1 Mn 0.956 0.000 0.000
Rh1 Rh 0.693 0.333 0.667
Sc1 Sc 0.351 0.667 0.333
```

***

[7]
Compound: KLa2Ta
Source: Alexandria via LeMat-Bulk
Functional: GGA-PBEsol
Structure: relaxed

Properties
Calculated formation energy: 1.016 eV per atom
E above lowest polymorph: 448.0 meV/atom
Total energy: -20.3 eV/cell

Structure (CIF):
```
data_KLa2Ta
_cell_length_a 4.726
_cell_length_b 4.726
_cell_length_c 6.148
_cell_angle_alpha 112.60
_cell_angle_beta 112.60
_cell_angle_gamma 90.00
_symmetry_space_group_name_H-M 'P 1'
_symmetry_Int_Tables_number 1
_symmetry_space_group_name_Hall 'P 1'
loop_
_atom_site_label
_atom_site_type_symbol
_atom_site_fract_x
_atom_site_fract_y
_atom_site_fract_z
K1 K 0.250 0.750 0.500
La1 La 0.000 0.000 0.000
La2 La 0.750 0.250 0.500
Ta1 Ta 0.500 0.500 0.000
```

***

[8]
Compound: RePdSeN2
Source: Alexandria via LeMat-Bulk
Functional: GGA-PBEsol
Structure: relaxed

Properties
Total energy: -37.8 eV/cell
Formation energy without anion corrections: 0.475 eV/atom

Structure (CIF):
```
data_RePdSeN2
_cell_length_a 3.767
_cell_length_b 3.767
_cell_length_c 5.325
_cell_angle_alpha 90.00
_cell_angle_beta 90.00
_cell_angle_gamma 90.00
_symmetry_space_group_name_H-M 'P 1'
_symmetry_Int_Tables_number 1
_symmetry_space_group_name_Hall 'P 1'
loop_
_atom_site_label
_atom_site_type_symbol
_atom_site_fract_x
_atom_site_fract_y
_atom_site_fract_z
Re1 Re 0.000 0.000 0.000
Se1 Se 0.000 0.000 0.500
Pd1 Pd 0.500 0.500 0.500
N1 N 0.000 0.500 0.000
N2 N 0.500 0.000 0.000
```